La5Tb2Er2, optimized geometry, DFT GGA-PBE; total moment = 0.00 μB/f.u.; distance to the lowest polymorph of the same formula = 0.0000 eV/atom; SG = No. 2; total energy = -42.78 eV/cell
1.0
6.297 0.000 0.000
3.134 5.469 0.000
3.068 1.833 8.980
La Tb Er
5 2 2
Direct
0.000 0.000 0.000
0.110 0.445 0.668
0.444 0.779 0.667
0.556 0.221 0.333
0.890 0.555 0.332
0.334 0.330 0.000
0.666 0.670 0.000
0.223 0.890 0.332
0.777 0.110 0.668